(1)
Computed, not measured: a PBEsol-optimized structure of TlAgS2Cl at the meta-GGA SCAN level of DFT.

Cell lengths 4.982, 4.982, 5.288 Å; angles 90.00, 90.00, 90.00 degrees
Atoms (fractional coordinates):
S: 0.000 0.500 0.000
S: 0.500 0.000 0.000
Cl: 0.000 0.000 0.500
Ag: 0.500 0.500 0.500
Tl: 0.000 0.000 0.000

Properties
Fermi-level density of states, states/eV per atom: 0.900
Space-group type: P4/mmm (123)
Electronic total energy, eV/atom: -25.752


(2)
Computed, not measured: a PBEsol-optimized structure of AgWSCl2 at the meta-GGA SCAN level of DFT.

Cell lengths 4.696, 4.696, 4.964 Å; angles 90.00, 90.00, 90.00 degrees
Atoms (fractional coordinates):
Ag: 0.000 0.000 0.000
Cl: 0.500 0.000 0.000
Cl: 0.000 0.500 0.000
W: 0.500 0.500 0.500
S: 0.000 0.000 0.500

Properties
Fermi-level density of states, states/eV per atom: 0.850
Space-group type: P4/mmm (123)
Electronic total energy, eV/atom: -24.189


(3)
Computed, not measured: a PBEsol-optimized structure of ZrAgS2Cl at the meta-GGA SCAN level of DFT.

Cell lengths 4.644, 4.744, 4.744 Å; angles 90.00, 90.00, 90.00 degrees
Atoms (fractional coordinates):
S: 0.000 0.000 0.500
S: 0.000 0.500 0.000
Zr: 0.500 0.500 0.500
Ag: 0.000 0.000 0.000
Cl: 0.500 0.000 0.000

Properties
Fermi-level density of states, states/eV per atom: 0.622
Space-group type: P4/mmm (123)
Electronic total energy, eV/atom: -17.778


(4)
Computed, not measured: a PBEsol-optimized structure of AgSbCl2 at the meta-GGA SCAN level of DFT.

Cell lengths 4.914, 4.914, 4.914 Å; angles 60.00, 60.00, 60.00 degrees
Atoms (fractional coordinates):
Cl: 0.750 0.750 0.750
Cl: 0.250 0.250 0.250
Sb: 0.500 0.500 0.500
Ag: 0.000 0.000 0.000

Properties
Fermi-level density of states, states/eV per atom: 0.520
Space-group type: Fm-3m (225)
Electronic total energy, eV/atom: -21.063